An optimized crystal structure of BeMo2Pb, computed with GGA-PBE.

a = 4.5201 Å, b = 4.5201 Å, c = 4.5201 Å
α = 60.00°, β = 60.00°, γ = 60.00°
With the nearest neighbours (Å) after each atom.
Fractional positions:
1 Be 0.0000 0.0000 0.0000  4 Pb 2.77, 4 Mo 2.77
2 Mo 0.2500 0.2500 0.2500  4 Mo 2.77, 4 Be 2.77
3 Mo 0.5000 0.5000 0.5000  4 Pb 2.77, 4 Mo 2.77
4 Pb 0.7500 0.7500 0.7500  4 Mo 2.77, 4 Be 2.77

Results
The volume comes out at 16.3 Å³ per atom. The calculation puts the formation energy at 664 meV/atom. The space group is F-43m, No. 216. Its crystal system is cubic. The magnetic moment comes out at 0.00 μB/atom.

An optimized crystal structure of BeMo4Pb, computed with GGA-PBE.

a = 5.3093 Å, b = 5.3093 Å, c = 5.3093 Å
α = 60.00°, β = 60.00°, γ = 60.00°
With the nearest neighbours (Å) after each atom.
Fractional positions:
1 Be 0.0000 0.0000 0.0000  12 Mo 3.11, 4 Pb 3.25
2 Mo 0.1210 0.6264 0.6264  6 Mo 2.63-2.68
3 Mo 0.6264 0.1210 0.6264  6 Mo 2.63-2.68
4 Mo 0.6264 0.6264 0.1210  6 Mo 2.63-2.68
5 Mo 0.6264 0.6264 0.6264  6 Mo 2.63-2.68
6 Pb 0.2500 0.2500 0.2500  12 Mo 3.12, 4 Be 3.25

Results
The volume comes out at 17.6 Å³ per atom. The calculation puts the formation energy at 753 meV/atom. The space group is F-43m, No. 216. Its crystal system is cubic. The magnetic moment comes out at 0.00 μB/atom.

An optimized crystal structure of BeMo3Pb, computed with GGA-PBE.

a = 4.3512 Å, b = 4.3512 Å, c = 4.3512 Å
α = 90.00°, β = 90.00°, γ = 90.00°
With the nearest neighbours (Å) after each atom.
Fractional positions:
1 Be 0.0000 0.0000 0.0000  6 Mo 2.18
2 Mo 0.0000 0.0000 0.5000  2 Be 2.18
3 Mo 0.0000 0.5000 0.0000  2 Be 2.18
4 Mo 0.5000 0.0000 0.0000  2 Be 2.18
5 Pb 0.5000 0.5000 0.5000  12 Mo 3.08

Results
The volume comes out at 16.5 Å³ per atom. The calculation puts the formation energy at 787 meV/atom. The space group is Pm-3m, No. 221. Its crystal system is cubic. The magnetic moment comes out at 0.00 μB/atom.

An optimized crystal structure of BeMoPb, computed with GGA-PBE.

a = 4.2091 Å, b = 4.2091 Å, c = 4.2091 Å
α = 60.00°, β = 60.00°, γ = 60.00°
With the nearest neighbours (Å) after each atom.
Fractional positions:
1 Be 0.0000 0.0000 0.0000  4 Pb 2.58, 4 Mo 2.58
2 Mo 0.2500 0.2500 0.2500  4 Be 2.58
3 Pb 0.7500 0.7500 0.7500  4 Be 2.58

Results
The volume comes out at 17.6 Å³ per atom. The calculation puts the formation energy at 843 meV/atom. The space group is F-43m, No. 216. Its crystal system is cubic. The magnetic moment comes out at 0.53 μB/atom.

An optimized crystal structure of BeMo2Pb, computed with GGA-PBE.

a = 4.9543 Å, b = 4.9543 Å, c = 2.9937 Å
α = 90.00°, β = 90.00°, γ = 114.56°
With the nearest neighbours (Å) after each atom.
Fractional positions:
1 Be 0.0000 0.0000 0.0000  2 Pb 2.68, 8 Mo 2.89, 2 Be 2.99
2 Mo 0.0000 0.5000 0.5000  4 Mo 2.68-2.99, 4 Be 2.89, 4 Pb 2.89
3 Mo 0.5000 0.0000 0.5000  4 Mo 2.68-2.99, 4 Be 2.89, 4 Pb 2.89
4 Pb 0.5000 0.5000 0.0000  2 Be 2.68, 8 Mo 2.89, 2 Pb 2.99

Results
The volume comes out at 16.7 Å³ per atom. The calculation puts the formation energy at 833 meV/atom. The space group is Cmmm, No. 65. Its crystal system is orthorhombic. The magnetic moment comes out at 0.00 μB/atom.

An optimized crystal structure of Be2Mo2Pb, computed with GGA-PBE.

a = 6.4018 Å, b = 6.4018 Å, c = 3.4086 Å
α = 90.00°, β = 90.00°, γ = 90.00°
With the nearest neighbours (Å) after each atom.
Fractional positions:
1 Be 0.1120 0.3880 0.0000  1 Be 2.03
2 Be 0.3880 0.8880 0.0000  1 Be 2.03
3 Be 0.6120 0.1120 0.0000  1 Be 2.03
4 Be 0.8880 0.6120 0.0000  1 Be 2.03
5 Mo 0.1704 0.6704 0.5000  6 Be 2.51-2.60
6 Mo 0.3296 0.1704 0.5000  6 Be 2.51-2.60
7 Mo 0.6704 0.8296 0.5000  6 Be 2.51-2.60
8 Mo 0.8296 0.3296 0.5000  6 Be 2.51-2.60
9 Pb 0.0000 0.0000 0.0000  4 Be 2.59
10 Pb 0.5000 0.5000 0.0000  4 Be 2.59

Results
The volume comes out at 14.0 Å³ per atom. The calculation puts the formation energy at 317 meV/atom. The space group is P4/mbm, No. 127. Its crystal system is tetragonal. The magnetic moment comes out at 0.00 μB/atom.

Q: Look up the magnetic moment of the sixth one.
A: 0.00 μB/atom